# 1
# PBE-GGA Sm3YTm3S8, optimized geometry
# **Formation energy from raw total energies**: -2.041 eV/atom
data_Sm3YTm3S8
_cell_length_a 7.8694
_cell_length_b 7.8694
_cell_length_c 7.8694
_cell_angle_alpha 59.46
_cell_angle_beta 59.46
_cell_angle_gamma 59.46
_symmetry_space_group_name_H-M 'P 1'
_symmetry_Int_Tables_number 1
_symmetry_space_group_name_Hall 'P 1'
loop_
_atom_site_label
_atom_site_type_symbol
_atom_site_fract_x
_atom_site_fract_y
_atom_site_fract_z
Sm1 Sm 0.0000 0.5000 0.5000
Sm2 Sm 0.5000 0.0000 0.5000
Sm3 Sm 0.5000 0.5000 0.0000
Y1 Y 0.5000 0.5000 0.5000
Tm1 Tm 0.0000 0.0000 0.5000
Tm2 Tm 0.0000 0.5000 0.0000
Tm3 Tm 0.5000 0.0000 0.0000
S1 S 0.2397 0.7501 0.7501
S2 S 0.2450 0.2450 0.2450
S3 S 0.2499 0.2499 0.7603
S4 S 0.2499 0.7603 0.2499
S5 S 0.7501 0.2397 0.7501
S6 S 0.7501 0.7501 0.2397
S7 S 0.7550 0.7550 0.7550
S8 S 0.7603 0.2499 0.2499


# 2
# PBE-GGA CaCe2P, optimized geometry
# **ΔE_f**: -0.562 eV per atom
# **Polymorph energy (0 for the lowest one)**: 0.000 eV per atom
data_CaCe2P
_cell_length_a 10.0686
_cell_length_b 10.0686
_cell_length_c 10.0686
_cell_angle_alpha 22.45
_cell_angle_beta 22.45
_cell_angle_gamma 22.45
_symmetry_space_group_name_H-M 'P 1'
_symmetry_Int_Tables_number 1
_symmetry_space_group_name_Hall 'P 1'
loop_
_atom_site_label
_atom_site_type_symbol
_atom_site_fract_x
_atom_site_fract_y
_atom_site_fract_z
Ca1 Ca 0.0000 0.0000 0.0000
Ce1 Ce 0.2234 0.2234 0.2234
Ce2 Ce 0.4434 0.4434 0.4434
P1 P 0.8335 0.8335 0.8335


# 3
# PBE-GGA MnHgRu2, optimized geometry
# **ΔE_f**: 0.544 eV per atom
data_MnHgRu2
_cell_length_a 3.0163
_cell_length_b 4.5590
_cell_length_c 4.6126
_cell_angle_alpha 90.00
_cell_angle_beta 90.00
_cell_angle_gamma 90.00
_symmetry_space_group_name_H-M 'P 1'
_symmetry_Int_Tables_number 1
_symmetry_space_group_name_Hall 'P 1'
loop_
_atom_site_label
_atom_site_type_symbol
_atom_site_fract_x
_atom_site_fract_y
_atom_site_fract_z
Mn1 Mn 0.0000 0.0000 0.0000
Hg1 Hg 0.5000 0.0000 0.5000
Ru1 Ru 0.0000 0.5000 0.5000
Ru2 Ru 0.5000 0.5000 0.0000


Number 1: theoretical density 6.4 g cm⁻³. Number 2: theoretical density 4.5 g cm⁻³. Number 3: theoretical density 12.0 g cm⁻³.